No. 1
This record from the Alexandria database describes crystalline NaSr3Ca3 at its relaxed geometry. The functional is PBE.

Values from the calculation:
**Calculated density**: 2.0 g/cm3
**N(E_F)**: 15.52 states/eV per cell
**Space-group type**: C2/m
**DFT formation energy**: 12 kJ/mol of atoms
**M_tot**: 0.00 μB/cell

Cell: 9.1009 9.1009 8.2510 Å, 90.04 90.04 89.22°
Last column: nearest neighbours and their distance in Å.
Element x y z (fractional)
Na 0.2368 0.2368 0.0001  4 Ca 3.74-4.18, 6 Sr 3.79-3.98
Na 0.7632 0.7632 0.9999  4 Ca 3.74-4.18, 6 Sr 3.79-3.98
Sr 0.9996 0.5003 0.2461  2 Na 3.79, 6 Ca 3.87-3.97, 2 Sr 4.06-4.19
Sr 0.0004 0.4997 0.7539  2 Na 3.79, 6 Ca 3.87-3.97, 2 Sr 4.06-4.19
Sr 0.5003 0.9996 0.2461  2 Na 3.79, 6 Ca 3.87-3.97, 2 Sr 4.06-4.19
Sr 0.4997 0.0004 0.7539  2 Na 3.79, 6 Ca 3.87-3.97, 2 Sr 4.06-4.19
Sr 0.4999 0.4999 0.2486  2 Na 3.98, 2 Ca 4.04, 2 Sr 4.10-4.15
Sr 0.5001 0.5001 0.7514  2 Na 3.98, 2 Ca 4.04, 2 Sr 4.10-4.15
Ca 0.1678 0.8322 0.0000  2 Na 3.74, 4 Sr 3.96-3.97
Ca 0.1900 0.1900 0.4988  2 Ca 3.82, 4 Sr 3.90, 2 Na 4.16-4.18
Ca 0.2287 0.7713 0.5000  4 Ca 3.82-4.20, 6 Sr 3.87-4.04
Ca 0.7713 0.2287 0.5000  4 Ca 3.82-4.20, 6 Sr 3.87-4.04
Ca 0.8101 0.8101 0.5012  2 Ca 3.82, 4 Sr 3.90, 2 Na 4.16-4.18
Ca 0.8322 0.1678 0.0000  2 Na 3.74, 4 Sr 3.96-3.97


No. 2
This record from the Alexandria database describes crystalline ZnCo2RuN at its relaxed geometry. The functional is PBE.

Values from the calculation:
**Calculated density**: 8.8 g/cm3
**N(E_F)**: 4.62 states/eV per cell
**ΔE_f (raw)**: -16 meV/atom
**Space-group type**: P4/mmm
**M_tot**: 1.46 μB/cell

Cell: 3.7704 3.7704 3.9827 Å, 90.00 90.00 90.00°
Last column: nearest neighbours and their distance in Å.
Element x y z (fractional)
Zn 0.0000 0.0000 0.0000  4 Ru 2.67, 8 Co 2.74
Co 0.0000 0.5000 0.5000  2 N 1.89
Co 0.5000 0.0000 0.5000  2 N 1.89
Ru 0.5000 0.5000 0.0000  2 N 1.99
N 0.5000 0.5000 0.5000  4 Co 1.89, 2 Ru 1.99